[1]
# PBE RbEuPb, optimized geometry
# - VASP energy: -15.439 eV per formula unit
# - Calculated density: 5.40 g/cm³
# - DOS(E_F): 1.568 states/eV/f.u.
# - Crystal system: tetragonal
data_RbEuPb
_symmetry_space_group_name_H-M 'I 4 m m'
_symmetry_Int_Tables_number 107
_symmetry_space_group_name_Hall 'I 4 -2'
_cell_length_a 4.263
_cell_length_b 4.263
_cell_length_c 15.056
_cell_angle_alpha 90.00
_cell_angle_beta 90.00
_cell_angle_gamma 90.00
loop_
_atom_site_label
_atom_site_type_symbol
_atom_site_fract_x
_atom_site_fract_y
_atom_site_fract_z
Rb1 Rb 0.000 0.000 0.000
Eu1 Eu 0.000 0.000 0.265
Pb1 Pb 0.000 0.000 0.666

[2]
# PBE HgN, optimized geometry
# - Formation energy (no corrections): 1666 meV/atom
# - VASP energy: -5.295 eV per formula unit
# - Calculated density: 10.63 g/cm³
# - DOS(E_F): 0.910 states/eV/f.u.
# - Energy above the most stable polymorph in this dataset: 1615 meV per atom
# - Crystal system: monoclinic
data_HgN
_symmetry_space_group_name_H-M 'C 1 2/m 1'
_symmetry_Int_Tables_number 12
_symmetry_space_group_name_Hall '-C 2y'
_cell_length_a 12.667
_cell_length_b 3.247
_cell_length_c 3.261
_cell_angle_alpha 90.00
_cell_angle_beta 90.94
_cell_angle_gamma 90.00
loop_
_atom_site_label
_atom_site_type_symbol
_atom_site_fract_x
_atom_site_fract_y
_atom_site_fract_z
Hg1 Hg 0.139 0.000 0.242
N1 N 0.149 0.500 0.742

[3]
# PBE KCrAg2Te, optimized geometry
# - Formation energy (no corrections): 710 meV/atom
# - VASP energy: -16.016 eV per formula unit
# - Calculated density: 4.65 g/cm³
# - DOS(E_F): 1.364 states/eV/f.u.
# - Crystal system: tetragonal
data_KCrAg2Te
_symmetry_space_group_name_H-M 'P 4/m m m'
_symmetry_Int_Tables_number 123
_symmetry_space_group_name_Hall '-P 4 2'
_cell_length_a 5.146
_cell_length_b 5.146
_cell_length_c 5.861
_cell_angle_alpha 90.00
_cell_angle_beta 90.00
_cell_angle_gamma 90.00
loop_
_atom_site_label
_atom_site_type_symbol
_atom_site_fract_x
_atom_site_fract_y
_atom_site_fract_z
K1 K 0.000 0.000 0.000
Cr1 Cr 0.000 0.000 0.500
Ag1 Ag 0.000 0.500 0.500
Te1 Te 0.500 0.500 0.000

[4]
# PBE BeTc2Cl, optimized geometry
# - Formation energy (no corrections): 93 meV/atom
# - VASP energy: -25.931 eV per formula unit
# - Calculated density: 6.16 g/cm³
# - DOS(E_F): 1.547 states/eV/f.u.
# - Energy above the most stable polymorph in this dataset: 0 meV per atom
# - Crystal system: trigonal
data_BeTc2Cl
_symmetry_space_group_name_H-M 'R 3 m'
_symmetry_Int_Tables_number 160
_symmetry_space_group_name_Hall 'R 3 -2"'
_cell_length_a 2.8461
_cell_length_b 2.8461
_cell_length_c 27.7304
_cell_angle_alpha 90.00
_cell_angle_beta 90.00
_cell_angle_gamma 120.00
loop_
_atom_site_label
_atom_site_type_symbol
_atom_site_fract_x
_atom_site_fract_y
_atom_site_fract_z
Be1 Be 0.0000 0.0000 0.0000
Tc1 Tc 0.0000 0.0000 0.2600
Tc2 Tc 0.0000 0.0000 0.5211
Cl1 Cl 0.0000 0.0000 0.7137

[5]
# PBE Er4Tm3In, optimized geometry
# - VASP energy: -35.344 eV per formula unit
# - Calculated density: 9.19 g/cm³
# - DOS(E_F): 10.724 states/eV/f.u.
# - Energy above the most stable polymorph in this dataset: 0 meV per atom
# - Crystal system: monoclinic
data_Er4Tm3In
_symmetry_space_group_name_H-M 'P 1 m 1'
_symmetry_Int_Tables_number 6
_symmetry_space_group_name_Hall 'P -2y'
_cell_length_a 8.206
_cell_length_b 6.934
_cell_length_c 8.227
_cell_angle_alpha 90.00
_cell_angle_beta 95.13
_cell_angle_gamma 90.00
loop_
_atom_site_label
_atom_site_type_symbol
_atom_site_fract_x
_atom_site_fract_y
_atom_site_fract_z
Er1 Er 0.000 0.000 0.000
Er2 Er 0.063 0.500 0.412
Er3 Er 0.243 0.258 0.750
Er4 Er 0.330 0.251 0.166
Er5 Er 0.483 0.500 0.510
Er6 Er 0.582 0.000 0.901
Tm1 Tm 0.085 0.000 0.415
Tm2 Tm 0.735 0.249 0.246
Tm3 Tm 0.821 0.242 0.661
Tm4 Tm 0.978 0.500 0.996
In1 In 0.492 0.000 0.501
In2 In 0.574 0.500 0.910

[6]
# PBE Cd2HgAs2, optimized geometry
# - VASP energy: -11.391 eV per formula unit
# - Calculated density: 7.57 g/cm³
# - DOS(E_F): 0.303 states/eV/f.u.
# - Energy above the most stable polymorph in this dataset: 0 meV per atom
# - Crystal system: tetragonal
data_Cd2HgAs2
_symmetry_space_group_name_H-M 'I 4/m m m'
_symmetry_Int_Tables_number 139
_symmetry_space_group_name_Hall '-I 4 2'
_cell_length_a 5.033
_cell_length_b 5.033
_cell_length_c 9.961
_cell_angle_alpha 90.00
_cell_angle_beta 90.00
_cell_angle_gamma 90.00
loop_
_atom_site_label
_atom_site_type_symbol
_atom_site_fract_x
_atom_site_fract_y
_atom_site_fract_z
Cd1 Cd 0.000 0.500 0.250
Hg1 Hg 0.000 0.000 0.000
As1 As 0.000 0.000 0.376

[7]
# PBE Hg3Se4, optimized geometry
# - Formation energy (no corrections): 128 meV/atom
# - VASP energy: -13.948 eV per formula unit
# - Calculated density: 6.91 g/cm³
# - DOS(E_F): 3.797 states/eV/f.u.
# - Energy above the most stable polymorph in this dataset: 87 meV per atom
# - Crystal system: tetragonal
data_Hg3Se4
_symmetry_space_group_name_H-M 'I 4/m m m'
_symmetry_Int_Tables_number 139
_symmetry_space_group_name_Hall '-I 4 2'
_cell_length_a 3.626
_cell_length_b 3.626
_cell_length_c 33.549
_cell_angle_alpha 90.00
_cell_angle_beta 90.00
_cell_angle_gamma 90.00
loop_
_atom_site_label
_atom_site_type_symbol
_atom_site_fract_x
_atom_site_fract_y
_atom_site_fract_z
Hg1 Hg 0.000 0.000 0.000
Hg2 Hg 0.000 0.000 0.286
Se1 Se 0.000 0.000 0.118
Se2 Se 0.000 0.000 0.402

[8]
# PBE Ta2CdIn2, optimized geometry
# - VASP energy: -26.630 eV per formula unit
# - Calculated density: 10.41 g/cm³
# - DOS(E_F): 2.866 states/eV/f.u.
# - Energy above the most stable polymorph in this dataset: 283 meV per atom
# - Crystal system: tetragonal
data_Ta2CdIn2
_symmetry_space_group_name_H-M 'I 4/m m m'
_symmetry_Int_Tables_number 139
_symmetry_space_group_name_Hall '-I 4 2'
_cell_length_a 4.066
_cell_length_b 4.066
_cell_length_c 13.590
_cell_angle_alpha 90.00
_cell_angle_beta 90.00
_cell_angle_gamma 90.00
loop_
_atom_site_label
_atom_site_type_symbol
_atom_site_fract_x
_atom_site_fract_y
_atom_site_fract_z
Ta1 Ta 0.000 0.000 0.091
Cd1 Cd 0.000 0.000 0.500
In1 In 0.000 0.500 0.250

[9]
# PBE Ba2ErUSe6, optimized geometry
# - Formation energy (no corrections): -1712 meV/atom
# - VASP energy: -57.728 eV per formula unit
# - Calculated density: 6.11 g/cm³
# - DOS(E_F): 0.260 states/eV/f.u.
# - Crystal system: monoclinic
data_Ba2ErUSe6
_symmetry_space_group_name_H-M 'P 1 21/c 1'
_symmetry_Int_Tables_number 14
_symmetry_space_group_name_Hall '-P 2ybc'
_cell_length_a 7.445
_cell_length_b 7.817
_cell_length_c 13.092
_cell_angle_alpha 90.00
_cell_angle_beta 124.61
_cell_angle_gamma 90.00
loop_
_atom_site_label
_atom_site_type_symbol
_atom_site_fract_x
_atom_site_fract_y
_atom_site_fract_z
Ba1 Ba 0.228 0.071 0.249
Er1 Er 0.000 0.000 0.500
U1 U 0.500 0.000 0.000
Se1 Se 0.158 0.198 0.956
Se2 Se 0.261 0.704 0.955
Se3 Se 0.338 0.015 0.753

[10]
# PBE YMg8Ni4, optimized geometry
# - VASP energy: -44.206 eV per formula unit
# - Calculated density: 3.74 g/cm³
# - DOS(E_F): 6.750 states/eV/f.u.
# - Crystal system: tetragonal
data_YMg8Ni4
_symmetry_space_group_name_H-M 'I 4/m m m'
_symmetry_Int_Tables_number 139
_symmetry_space_group_name_Hall '-I 4 2'
_cell_length_a 9.240
_cell_length_b 9.240
_cell_length_c 5.387
_cell_angle_alpha 90.00
_cell_angle_beta 90.00
_cell_angle_gamma 90.00
loop_
_atom_site_label
_atom_site_type_symbol
_atom_site_fract_x
_atom_site_fract_y
_atom_site_fract_z
Y1 Y 0.000 0.000 0.000
Mg1 Mg 0.000 0.220 0.500
Mg2 Mg 0.000 0.336 0.000
Ni1 Ni 0.250 0.250 0.250

[11]
# PBE CaErCdSn, optimized geometry
# - VASP energy: -13.379 eV per formula unit
# - Calculated density: 6.80 g/cm³
# - DOS(E_F): 3.171 states/eV/f.u.
# - Crystal system: cubic
data_CaErCdSn
_symmetry_space_group_name_H-M 'F -4 3 m'
_symmetry_Int_Tables_number 216
_symmetry_space_group_name_Hall 'F -4 2 3'
_cell_length_a 7.538
_cell_length_b 7.538
_cell_length_c 7.538
_cell_angle_alpha 90.00
_cell_angle_beta 90.00
_cell_angle_gamma 90.00
loop_
_atom_site_label
_atom_site_type_symbol
_atom_site_fract_x
_atom_site_fract_y
_atom_site_fract_z
Ca1 Ca 0.000 0.000 0.000
Er1 Er 0.000 0.000 0.500
Cd1 Cd 0.250 0.250 0.750
Sn1 Sn 0.250 0.250 0.250